Version A
## AlTl2S (GGA-PBE)

Data for AlTl2S after structural relaxation.

```
data_AlTl2S
_cell_length_a 7.411
_cell_length_b 7.411
_cell_length_c 7.411
_cell_angle_alpha 90.00
_cell_angle_beta 90.00
_cell_angle_gamma 90.00
_space_group_name_H-M_alt 'P 1'
_space_group_IT_number 1
_space_group_name_Hall 'P 1'
loop_
_atom_site_label
_atom_site_type_symbol
_atom_site_fract_x
_atom_site_fract_y
_atom_site_fract_z
Al1 Al 0.000 0.000 0.000
Al2 Al 0.000 0.500 0.500
Al3 Al 0.500 0.000 0.500
Al4 Al 0.500 0.500 0.000
Tl1 Tl 0.250 0.250 0.250
Tl2 Tl 0.250 0.250 0.750
Tl3 Tl 0.250 0.750 0.250
Tl4 Tl 0.250 0.750 0.750
Tl5 Tl 0.750 0.250 0.250
Tl6 Tl 0.750 0.250 0.750
Tl7 Tl 0.750 0.750 0.250
Tl8 Tl 0.750 0.750 0.750
S1 S 0.000 0.000 0.500
S2 S 0.000 0.500 0.000
S3 S 0.500 0.000 0.000
S4 S 0.500 0.500 0.500
```

SG: No. 225
Fermi-level density of states: 14.44 states/eV per cell
crystal system: cubic

***

Version B
## AlTl2S (GGA-PBE)

Data for AlTl2S after structural relaxation.

```
data_AlTl2S
_cell_length_a 6.521
_cell_length_b 6.521
_cell_length_c 12.261
_cell_angle_alpha 90.00
_cell_angle_beta 90.00
_cell_angle_gamma 90.00
_space_group_name_H-M_alt 'P 1'
_space_group_IT_number 1
_space_group_name_Hall 'P 1'
loop_
_atom_site_label
_atom_site_type_symbol
_atom_site_fract_x
_atom_site_fract_y
_atom_site_fract_z
Al1 Al 0.000 0.000 0.000
Al2 Al 0.000 0.500 0.250
Al3 Al 0.500 0.000 0.750
Al4 Al 0.500 0.500 0.500
Tl1 Tl 0.247 0.250 0.625
Tl2 Tl 0.250 0.747 0.875
Tl3 Tl 0.250 0.753 0.375
Tl4 Tl 0.253 0.250 0.125
Tl5 Tl 0.747 0.750 0.125
Tl6 Tl 0.750 0.247 0.375
Tl7 Tl 0.750 0.253 0.875
Tl8 Tl 0.753 0.750 0.625
S1 S 0.000 0.000 0.500
S2 S 0.000 0.500 0.750
S3 S 0.500 0.000 0.250
S4 S 0.500 0.500 0.000
```

SG: No. 122
Fermi-level density of states: 8.56 states/eV per cell
crystal system: tetragonal

***

Stability check: which of them is least stable? version A.

***

Version A
## ZrAlS3 (GGA-PBE)

Data for ZrAlS3 after structural relaxation.

```
data_ZrAlS3
_cell_length_a 5.003
_cell_length_b 5.003
_cell_length_c 5.003
_cell_angle_alpha 90.00
_cell_angle_beta 90.00
_cell_angle_gamma 90.00
_space_group_name_H-M_alt 'P 1'
_space_group_IT_number 1
_space_group_name_Hall 'P 1'
loop_
_atom_site_label
_atom_site_type_symbol
_atom_site_fract_x
_atom_site_fract_y
_atom_site_fract_z
Zr1 Zr 0.000 0.000 0.000
Al1 Al 0.500 0.500 0.500
S1 S 0.000 0.000 0.500
S2 S 0.000 0.500 0.000
S3 S 0.500 0.000 0.000
```

SG: No. 221
Fermi-level density of states: 3.97 states/eV per cell
crystal system: cubic

***

Version B
## ZrAlS3 (GGA-PBE)

Data for ZrAlS3 after structural relaxation.

```
data_ZrAlS3
_cell_length_a 4.546
_cell_length_b 4.546
_cell_length_c 4.546
_cell_angle_alpha 90.00
_cell_angle_beta 90.00
_cell_angle_gamma 90.00
_space_group_name_H-M_alt 'P 1'
_space_group_IT_number 1
_space_group_name_Hall 'P 1'
loop_
_atom_site_label
_atom_site_type_symbol
_atom_site_fract_x
_atom_site_fract_y
_atom_site_fract_z
Zr1 Zr 0.000 0.000 0.000
Al1 Al 0.500 0.500 0.500
S1 S 0.000 0.500 0.500
S2 S 0.500 0.000 0.500
S3 S 0.500 0.500 0.000
```

SG: No. 221
Fermi-level density of states: 3.55 states/eV per cell
crystal system: cubic

***

Stability check: which of them is least stable? version B.

***

Version A
## Al5Sb3 (GGA-PBE)

Data for Al5Sb3 after structural relaxation.

```
data_Al5Sb3
_cell_length_a 7.130
_cell_length_b 10.702
_cell_length_c 4.653
_cell_angle_alpha 90.00
_cell_angle_beta 90.00
_cell_angle_gamma 90.00
_space_group_name_H-M_alt 'P 1'
_space_group_IT_number 1
_space_group_name_Hall 'P 1'
loop_
_atom_site_label
_atom_site_type_symbol
_atom_site_fract_x
_atom_site_fract_y
_atom_site_fract_z
Al1 Al 0.000 0.000 0.000
Al2 Al 0.243 0.500 0.500
Al3 Al 0.250 0.250 0.000
Al4 Al 0.250 0.750 0.000
Al5 Al 0.257 0.000 0.500
Al6 Al 0.500 0.500 0.000
Al7 Al 0.743 0.000 0.500
Al8 Al 0.750 0.250 0.000
Al9 Al 0.750 0.750 0.000
Al10 Al 0.757 0.500 0.500
Sb1 Sb 0.000 0.206 0.500
Sb2 Sb 0.000 0.500 0.000
Sb3 Sb 0.000 0.794 0.500
Sb4 Sb 0.500 0.000 0.000
Sb5 Sb 0.500 0.294 0.500
Sb6 Sb 0.500 0.706 0.500
```

SG: No. 65
Fermi-level density of states: 5.07 states/eV per cell
crystal system: orthorhombic

***

Version B
## Al5Sb3 (GGA-PBE)

Data for Al5Sb3 after structural relaxation.

```
data_Al5Sb3
_cell_length_a 8.242
_cell_length_b 8.242
_cell_length_c 6.175
_cell_angle_alpha 90.00
_cell_angle_beta 90.00
_cell_angle_gamma 120.00
_space_group_name_H-M_alt 'P 1'
_space_group_IT_number 1
_space_group_name_Hall 'P 1'
loop_
_atom_site_label
_atom_site_type_symbol
_atom_site_fract_x
_atom_site_fract_y
_atom_site_fract_z
Al1 Al 0.000 0.200 0.250
Al2 Al 0.000 0.800 0.750
Al3 Al 0.200 0.000 0.250
Al4 Al 0.200 0.200 0.750
Al5 Al 0.333 0.667 0.000
Al6 Al 0.333 0.667 0.500
Al7 Al 0.667 0.333 0.000
Al8 Al 0.667 0.333 0.500
Al9 Al 0.800 0.000 0.750
Al10 Al 0.800 0.800 0.250
Sb1 Sb 0.000 0.405 0.750
Sb2 Sb 0.000 0.595 0.250
Sb3 Sb 0.405 0.000 0.750
Sb4 Sb 0.405 0.405 0.250
Sb5 Sb 0.595 0.000 0.250
Sb6 Sb 0.595 0.595 0.750
```

SG: No. 193
Fermi-level density of states: 4.99 states/eV per cell
crystal system: hexagonal

***

Stability check: which of them is least stable? version B.

***

Version A
## Al4Sb (GGA-PBE)

Data for Al4Sb after structural relaxation.

```
data_Al4Sb
_cell_length_a 6.405
_cell_length_b 6.405
_cell_length_c 6.405
_cell_angle_alpha 90.00
_cell_angle_beta 90.00
_cell_angle_gamma 90.00
_space_group_name_H-M_alt 'P 1'
_space_group_IT_number 1
_space_group_name_Hall 'P 1'
loop_
_atom_site_label
_atom_site_type_symbol
_atom_site_fract_x
_atom_site_fract_y
_atom_site_fract_z
Al1 Al 0.250 0.250 0.250
Al2 Al 0.250 0.250 0.750
Al3 Al 0.250 0.750 0.250
Al4 Al 0.250 0.750 0.750
Al5 Al 0.750 0.250 0.250
Al6 Al 0.750 0.250 0.750
Al7 Al 0.750 0.750 0.250
Al8 Al 0.750 0.750 0.750
Sb1 Sb 0.000 0.000 0.000
Sb2 Sb 0.500 0.500 0.500
```

SG: No. 229
Fermi-level density of states: 5.92 states/eV per cell
crystal system: cubic

***

Version B
## Al4Sb (GGA-PBE)

Data for Al4Sb after structural relaxation.

```
data_Al4Sb
_cell_length_a 6.943
_cell_length_b 6.943
_cell_length_c 3.983
_cell_angle_alpha 90.00
_cell_angle_beta 90.00
_cell_angle_gamma 90.00
_space_group_name_H-M_alt 'P 1'
_space_group_IT_number 1
_space_group_name_Hall 'P 1'
loop_
_atom_site_label
_atom_site_type_symbol
_atom_site_fract_x
_atom_site_fract_y
_atom_site_fract_z
Al1 Al 0.098 0.315 0.000
Al2 Al 0.185 0.598 0.500
Al3 Al 0.315 0.902 0.000
Al4 Al 0.402 0.185 0.500
Al5 Al 0.598 0.815 0.500
Al6 Al 0.685 0.098 0.000
Al7 Al 0.815 0.402 0.500
Al8 Al 0.902 0.685 0.000
Sb1 Sb 0.000 0.000 0.500
Sb2 Sb 0.500 0.500 0.000
```

SG: No. 87
Fermi-level density of states: 5.40 states/eV per cell
crystal system: tetragonal

***

Stability check: which of them is least stable? version A.